No. 1
Compound: NaAcEr
Source: Alexandria
Functional: PBE
Structure: relaxed

The value obtained for the electronic total energy is -19.6 eV for the cell shown. The space group is R-3m (166).

The structure in POSCAR format:
```
NaAcEr
1.0
-0.4086 3.6991 -0.6684
-2.4463 2.0319 2.0455
12.3142 5.5831 12.6757
Er Na Ac
2 2 2
Direct
0.3086 0.3086 0.0742
0.6914 0.6914 0.9258
0.8051 0.8051 0.5846
0.1949 0.1949 0.4154
0.4118 0.4118 0.7646
0.5882 0.5882 0.2354
```

---

No. 2
Compound: NaCdIn2Hg4
Source: Alexandria
Functional: PBE
Structure: relaxed

The value obtained for the electronic total energy is -18.5 eV for the cell shown. The space group is C2/c (15).

The structure in POSCAR format:
```
NaCdIn2Hg4
1.0
-3.3311 -3.8676 7.0569
-5.7773 -4.2913 -4.9053
10.0459 1.3532 -2.1023
Hg Na In Cd
8 2 4 2
Direct
0.2494 0.7518 0.0006
0.7506 0.2482 0.9994
0.7460 0.7562 0.5083
0.7438 0.7540 0.9917
0.2518 0.7494 0.5006
0.2562 0.2460 0.0083
0.2540 0.2438 0.4917
0.7482 0.2506 0.4994
0.0000 0.5000 0.0000
0.0000 0.5000 0.5000
0.0000 0.0000 0.5000
0.5000 0.0000 0.0000
0.5000 0.0000 0.5000
0.5000 0.5000 0.0000
0.0000 0.0000 0.0000
0.5000 0.5000 0.5000
```

---

No. 3
Compound: TbCe2TmSb4
Source: Alexandria
Functional: PBE
Structure: relaxed

The value obtained for the formation energy from raw total energies is -830 kJ/mol of formula units. The value obtained for the electronic total energy is -46.1 eV for the cell shown. The space group is P2/m (10).

The structure in POSCAR format:
```
TbCe2TmSb4
1.0
-2.9600 -2.9262 -1.5320
5.5636 -5.2277 -0.7644
0.6308 -4.0437 6.5049
Sb Ce Tm Tb
4 2 1 1
Direct
0.5000 0.2583 0.7450
0.0000 0.2566 0.2500
0.0000 0.7434 0.7500
0.5000 0.7417 0.2550
0.0000 0.0000 0.0000
0.5000 0.0000 0.5000
0.0000 0.5000 0.5000
0.5000 0.5000 0.0000
```

---

No. 4
Compound: ErPuThTl
Source: Alexandria
Functional: PBE
Structure: relaxed

The value obtained for the electronic total energy is -28.1 eV for the cell shown. The space group is F-43m (216).

The structure in POSCAR format:
```
ErPuThTl
1.0
-0.9265 5.2864 -0.6840
-3.7798 2.4897 2.9642
1.4587 3.5212 3.8400
Tl Pu Er Th
1 1 1 1
Direct
0.0000 0.0000 0.0000
0.2500 0.2500 0.2500
0.7500 0.7500 0.7500
0.5000 0.5000 0.5000
```

---

No. 5
Compound: CaMnGa2
Source: Alexandria
Functional: PBE
Structure: relaxed

The value obtained for the electronic total energy is -17.9 eV for the cell shown. The space group is R-3m (166).

The structure in POSCAR format:
```
CaMnGa2
1.0
-2.8959 0.3613 -3.1603
0.9967 -1.2726 -3.9864
-2.4320 -5.1434 -1.2870
Ga Ca Mn
2 1 1
Direct
0.2893 0.2893 0.1322
0.7107 0.7107 0.8678
0.5000 0.5000 0.5000
0.0000 0.0000 0.0000
```

---

No. 6
Compound: Ce2DyRe9
Source: Alexandria
Functional: PBE
Structure: relaxed

The value obtained for the electronic total energy is -128.3 eV for the cell shown. The space group is R-3m (166).

The structure in POSCAR format:
```
Ce2DyRe9
1.0
5.0767 0.0000 1.5109
2.3135 4.5189 1.5109
-0.1120 -0.0685 9.6609
Re Ce Dy
9 2 1
Direct
0.4165 0.9214 0.2455
0.5835 0.0786 0.7545
0.9214 0.4165 0.2455
0.3350 0.3350 0.9951
0.5835 0.5835 0.7545
0.0786 0.5835 0.7545
0.4165 0.4165 0.2455
0.5000 0.5000 0.5000
0.6650 0.6650 0.0049
0.8529 0.8529 0.4413
0.1471 0.1471 0.5587
0.0000 0.0000 0.0000
```